--- i ---
Compound: InTe4
Source: Alexandria via LeMat-Bulk
Functional: PBE-GGA
Structure: optimized geometry

Cell: 4.2597 4.2597 19.1719 Å, 90.00 90.00 90.00°
With the nearest neighbours (Å) after each atom.
Space group I4/mmm (No. 139)
One atom of each set of equivalent atoms:
1 In 0.0000 0.0000 0.0000 (multiplicity 2)  8 Te 3.33
2 Te 0.0000 0.0000 0.4262 (multiplicity 4)  1 Te 2.83
3 Te 0.0000 0.5000 0.2500 (multiplicity 4)  4 Te 3.01

--- ii ---
Compound: InTe4
Source: Alexandria via LeMat-Bulk
Functional: PBE-GGA
Structure: optimized geometry

Cell: 5.6403 5.6403 5.6403 Å, 90.00 90.00 90.00°
With the nearest neighbours (Å) after each atom.
Space group Pm-3m (No. 221)
One atom of each set of equivalent atoms:
1 In 0.0000 0.0000 0.0000 (multiplicity 1)  6 Te 2.82
2 Te 0.0000 0.0000 0.5000 (multiplicity 3)  2 In 2.82
3 Te 0.5000 0.5000 0.5000 (multiplicity 1)  12 Te 3.99

Which one sits at the top of the stability order? i does.

--- i ---
Compound: In3Te2
Source: Alexandria via LeMat-Bulk
Functional: PBE-GGA
Structure: optimized geometry

Cell: 7.5198 7.5198 23.2718 Å, 90.00 90.00 120.00°
With the nearest neighbours (Å) after each atom.
Space group R-3c (No. 167, hexagonal axes)
One atom of each set of equivalent atoms:
1 In 0.0000 0.2444 0.2500 (multiplicity 18)  2 Te 3.04, 2 In 3.18
2 Te 0.0000 0.0000 0.1222 (multiplicity 12)  3 In 3.04

--- ii ---
Compound: In3Te2
Source: Alexandria via LeMat-Bulk
Functional: PBE-GGA
Structure: optimized geometry

Cell: 4.4330 4.4330 28.0989 Å, 90.00 90.00 120.00°
With the nearest neighbours (Å) after each atom.
Space group R-3m (No. 166, hexagonal axes)
One atom of each set of equivalent atoms:
1 In 0.0000 0.0000 0.0000 (multiplicity 3)  6 Te 3.24
2 In 0.0000 0.0000 0.2024 (multiplicity 6)  3 Te 3.07, 3 In 3.25
3 Te 0.0000 0.0000 0.4039 (multiplicity 6)  6 In 3.07-3.24

Which one sits at the top of the stability order? ii does.

--- i ---
Compound: In3Te2
Source: Alexandria via LeMat-Bulk
Functional: PBE-GGA
Structure: optimized geometry

Cell: 8.0751 4.6626 9.3096 Å, 90.00 95.23 90.00°
With the nearest neighbours (Å) after each atom.
Space group P2_1/m (No. 11)
One atom of each set of equivalent atoms:
1 In 0.0111 0.2500 0.3028 (multiplicity 2)  4 Te 3.05-3.17, 1 In 3.08
2 In 0.2876 0.7500 0.9287 (multiplicity 2)  1 In 3.08, 3 Te 3.10-3.16
3 In 0.3954 0.7500 0.3986 (multiplicity 2)  5 Te 3.24-3.51, 2 In 3.36
4 Te 0.2008 0.2500 0.6100 (multiplicity 2)  4 In 3.05-3.27
5 Te 0.3505 0.2500 0.1568 (multiplicity 2)  6 In 3.10-3.24

--- ii ---
Compound: In3Te2
Source: Alexandria via LeMat-Bulk
Functional: PBE-GGA
Structure: optimized geometry

Cell: 7.0609 7.0609 23.0732 Å, 90.00 90.00 120.00°
With the nearest neighbours (Å) after each atom.
Space group R-3m (No. 166, hexagonal axes)
One atom of each set of equivalent atoms:
1 In 0.0132 0.5066 0.1040 (multiplicity 18)  3 Te 3.02-3.29
2 Te 0.0000 0.0000 0.1208 (multiplicity 6)  9 In 3.28-3.55
3 Te 0.0000 0.0000 0.3227 (multiplicity 6)  6 In 3.02-3.29

Which one sits at the top of the stability order? i does.

--- i ---
Compound: In5Te3
Source: Alexandria via LeMat-Bulk
Functional: PBE-GGA
Structure: optimized geometry

Cell: 11.5320 8.8097 9.7556 Å, 90.00 90.00 90.00°
With the nearest neighbours (Å) after each atom.
Space group Cmcm (No. 63)
One atom of each set of equivalent atoms:
1 In 0.0000 0.0217 0.2500 (multiplicity 4)  5 Te 3.12-3.33, 2 In 3.30
2 In 0.0000 0.2881 0.5605 (multiplicity 8)  4 Te 3.13-3.49, 3 In 3.30-3.36
3 In 0.2416 0.2479 0.7500 (multiplicity 8)  5 Te 3.17-3.37, 2 In 3.36
4 Te 0.0000 0.3757 0.2500 (multiplicity 4)  7 In 3.12-3.49
5 Te 0.1965 0.0000 0.0000 (multiplicity 8)  8 In 3.32-3.45

--- ii ---
Compound: In5Te3
Source: Alexandria via LeMat-Bulk
Functional: PBE-GGA
Structure: optimized geometry

Cell: 8.0023 11.4070 5.4201 Å, 90.00 90.00 90.00°
With the nearest neighbours (Å) after each atom.
Space group Cmmm (No. 65)
One atom of each set of equivalent atoms:
1 In 0.0000 0.0000 0.0000 (multiplicity 2)  8 In 3.48-3.53, 4 Te 3.50
2 In 0.2176 0.5000 0.5000 (multiplicity 4)  4 Te 3.16-3.22, 3 In 3.48-3.53
3 In 0.2500 0.2500 0.0000 (multiplicity 4)  6 Te 3.43-3.48, 2 In 3.48
4 Te 0.0000 0.1938 0.5000 (multiplicity 4)  8 In 3.16-3.50
5 Te 0.0000 0.5000 0.0000 (multiplicity 2)  8 In 3.22-3.48

Which one sits at the top of the stability order? i does.

--- i ---
Compound: TiInTe3
Source: Alexandria via LeMat-Bulk
Functional: PBE-GGA
Structure: optimized geometry

Cell: 18.1645 4.1909 7.8881 Å, 90.00 104.79 90.00°
With the nearest neighbours (Å) after each atom.
Space group C2/m (No. 12)
One atom of each set of equivalent atoms:
1 Ti 0.2117 0.0000 0.2374 (multiplicity 4)  7 Te 2.76-2.98
2 In 0.0342 0.5000 0.6875 (multiplicity 4)  1 In 2.90, 3 Te 2.95-2.97
3 Te 0.0556 0.0000 0.1892 (multiplicity 4)  1 Ti 2.76, 2 In 2.97
4 Te 0.1741 0.5000 0.9759 (multiplicity 4)  3 Ti 2.90-2.98, 1 In 2.95
5 Te 0.1887 0.0000 0.5891 (multiplicity 4)  3 Ti 2.88-2.91

--- ii ---
Compound: TiInTe3
Source: Alexandria via LeMat-Bulk
Functional: PBE-GGA
Structure: optimized geometry

Cell: 5.4126 5.4126 5.4126 Å, 90.00 90.00 90.00°
With the nearest neighbours (Å) after each atom.
Space group Pm-3m (No. 221)
One atom of each set of equivalent atoms:
1 Ti 0.0000 0.0000 0.0000 (multiplicity 1)  6 Te 2.71
2 In 0.5000 0.5000 0.5000 (multiplicity 1)  12 Te 3.83
3 Te 0.0000 0.0000 0.5000 (multiplicity 3)  2 Ti 2.71

Which one sits at the top of the stability order? i does.

--- i ---
Compound: Ti3InTe
Source: Alexandria via LeMat-Bulk
Functional: PBE-GGA
Structure: optimized geometry

Cell: 13.6285 4.8698 7.0897 Å, 90.00 97.73 90.00°
With the nearest neighbours (Å) after each atom.
Space group C2/m (No. 12)
One atom of each set of equivalent atoms:
1 Ti 0.0286 0.0000 0.1878 (multiplicity 4)  3 Ti 2.67-2.95, 1 Te 2.87, 2 In 2.89
2 Ti 0.1847 0.0000 0.9548 (multiplicity 4)  1 Ti 2.51, 1 Te 2.75, 2 In 2.77
3 Ti 0.2349 0.5000 0.7060 (multiplicity 4)  1 Ti 2.51, 1 Te 2.79
4 In 0.1060 0.5000 0.0434 (multiplicity 4)  5 Ti 2.77-2.89, 1 In 2.87
5 Te 0.1350 0.0000 0.5658 (multiplicity 4)  6 Ti 2.75-3.01

--- ii ---
Compound: Ti3InTe
Source: Alexandria via LeMat-Bulk
Functional: PBE-GGA
Structure: optimized geometry

Cell: 5.0047 5.0047 5.0047 Å, 90.00 90.00 90.00°
With the nearest neighbours (Å) after each atom.
Space group Pm-3m (No. 221)
One atom of each set of equivalent atoms:
1 Ti 0.0000 0.0000 0.5000 (multiplicity 3)  2 Te 2.50
2 In 0.5000 0.5000 0.5000 (multiplicity 1)  12 Ti 3.54
3 Te 0.0000 0.0000 0.0000 (multiplicity 1)  6 Ti 2.50

Which one sits at the top of the stability order? i does.